Compound: Ti2VSi2
Source: Alexandria via LeMat-Bulk
Functional: PBE
Structure: optimized geometry

The value obtained for the energy relative to the elements, uncorrected is -0.7081 eV per atom. As for the volume: 145.8 Å³/cell.

Cell lengths 6.4846, 6.4846, 3.4665 Å; angles 90.00, 90.00, 90.00 degrees
Space group P4/mbm (No. 127)
One atom of each set of equivalent atoms:
Ti: 0.1720 0.3280 0.0000 [4 per cell]
V: 0.0000 0.0000 0.5000 [2 per cell]
Si: 0.1297 0.6297 0.5000 [4 per cell]

***

Compound: TlRuSeN2
Source: Alexandria via LeMat-Bulk
Functional: PBE
Structure: optimized geometry

The value obtained for the energy relative to the elements, uncorrected is 2.2950 eV per atom. As for the volume: 104.0 Å³/cell. Its excess energy over the best structure of this formula in the dataset is 36.704 kcal/mol of atoms.

Cell lengths 4.1491, 4.1491, 6.0389 Å; angles 90.00, 90.00, 90.00 degrees
Space group P4/mmm (No. 123)
One atom of each set of equivalent atoms:
Tl: 0.0000 0.0000 0.0000 [1 per cell]
Ru: 0.5000 0.5000 0.5000 [1 per cell]
Se: 0.0000 0.0000 0.5000 [1 per cell]
N: 0.0000 0.5000 0.0000 [2 per cell]

***

Compound: LiDySi
Source: Alexandria via LeMat-Bulk
Functional: PBE
Structure: optimized geometry

The value obtained for the energy relative to the elements, uncorrected is -0.1738 eV per atom. As for the volume: 125.7 Å³/cell.

Cell lengths 3.9246, 3.9246, 8.1590 Å; angles 90.00, 90.00, 90.00 degrees
Space group I4mm (No. 107)
One atom of each set of equivalent atoms:
Li: 0.0000 0.0000 0.0000 [2 per cell]
Dy: 0.0000 0.0000 0.6718 [2 per cell]
Si: 0.0000 0.0000 0.3137 [2 per cell]

***

Compound: Ba6InAg3
Source: Alexandria via LeMat-Bulk
Functional: PBE
Structure: optimized geometry

As for the raw total energy: -49.6 eV/cell. As for the volume: 897.6 Å³/cell.

Cell lengths 13.0726, 4.8077, 15.2861 Å; angles 90.00, 110.88, 90.00 degrees
Space group P2_1/m (No. 11)
One atom of each set of equivalent atoms:
Ba: 0.0179 0.2500 0.3895 [2 per cell]
Ba: 0.0613 0.2500 0.9043 [2 per cell]
Ba: 0.2469 0.7500 0.3139 [2 per cell]
Ba: 0.3404 0.7500 0.0952 [2 per cell]
Ba: 0.3410 0.7500 0.7977 [2 per cell]
Ba: 0.3890 0.2500 0.5630 [2 per cell]
In: 0.4306 0.2500 0.2884 [2 per cell]
Ag: 0.1567 0.2500 0.1463 [2 per cell]
Ag: 0.1906 0.7500 0.5290 [2 per cell]
Ag: 0.4323 0.2500 0.9752 [2 per cell]

***

Compound: CoNi2Ir2
Source: Alexandria via LeMat-Bulk
Functional: PBE
Structure: optimized geometry

As for the volume: 139.7 Å³/cell. Its excess energy over the best structure of this formula in the dataset is 0.799 kcal/mol of atoms.

Cell lengths 8.1023, 3.5512, 4.8795 Å; angles 90.00, 95.50, 90.00 degrees
Space group C2/m (No. 12)
One atom of each set of equivalent atoms:
Co: 0.0000 0.0000 0.0000 [2 per cell]
Ni: 0.1153 0.5000 0.3391 [4 per cell]
Ir: 0.1882 0.5000 0.8306 [4 per cell]

***

Compound: LiMg2Pt
Source: Alexandria via LeMat-Bulk
Functional: PBE
Structure: optimized geometry

As for the volume: 67.0 Å³/cell. Its excess energy over the best structure of this formula in the dataset is 2.530 kcal/mol of atoms.

Cell lengths 4.2870, 4.2870, 3.6458 Å; angles 90.00, 90.00, 90.00 degrees
Space group P4/mmm (No. 123)
One atom of each set of equivalent atoms:
Li: 0.0000 0.0000 0.0000 [1 per cell]
Mg: 0.0000 0.5000 0.5000 [2 per cell]
Pt: 0.5000 0.5000 0.0000 [1 per cell]

***

Compound: ErBrF
Source: Alexandria via LeMat-Bulk
Functional: PBE
Structure: optimized geometry

The value obtained for the energy relative to the elements, uncorrected is -2.4497 eV per atom. As for the volume: 172.7 Å³/cell.

Cell lengths 3.5871, 6.9528, 7.4319 Å; angles 74.90, 89.99, 75.38 degrees
Space group P-1 (No. 2)
One atom of each set of equivalent atoms:
Er: 0.2121 0.0779 0.2620 [2 per cell]
Br: 0.1417 0.2213 0.8169 [2 per cell]
F: 0.3783 0.7371 0.8007 [2 per cell]

***

Compound: NdSmI2
Source: Alexandria via LeMat-Bulk
Functional: PBE
Structure: optimized geometry

The value obtained for the energy relative to the elements, uncorrected is -0.7378 eV per atom. As for the volume: 433.8 Å³/cell. Its excess energy over the best structure of this formula in the dataset is 2.305 kcal/mol of atoms.

Cell lengths 3.9080, 3.9080, 32.7950 Å; angles 90.00, 90.00, 120.00 degrees
Space group R-3m (No. 166, hexagonal axes)
One atom of each set of equivalent atoms:
Nd: 0.0000 0.0000 0.0000 [3 per cell]
Sm: 0.0000 0.0000 0.5000 [3 per cell]
I: 0.0000 0.0000 0.0979 [6 per cell]

***

Compound: NaAlGa2
Source: Alexandria via LeMat-Bulk
Functional: PBE
Structure: optimized geometry

As for the raw total energy: -45.2 eV/cell. As for the volume: 354.6 Å³/cell.

Cell lengths 7.6846, 4.0591, 11.3697 Å; angles 90.00, 90.00, 90.00 degrees
Space group Pnma (No. 62)
One atom of each set of equivalent atoms:
Na: 0.1269 0.2500 0.1329 [4 per cell]
Al: 0.1268 0.2500 0.4433 [4 per cell]
Ga: 0.0428 0.2500 0.6649 [4 per cell]
Ga: 0.1988 0.2500 0.8559 [4 per cell]